First-principles (GGA-PBE) data for an optimized crystal structure of Li2Ga8Pt, as listed in Alexandria.

a b c (Å): 8.612 8.612 5.643
angles (deg): 98.64 98.64 27.76
Element x y z (fractional)
Li 0.201 0.201 0.104
Li 0.799 0.799 0.896
Ga 0.004 0.004 0.226
Ga 0.200 0.200 0.601
Ga 0.370 0.370 0.697
Ga 0.372 0.372 0.176
Ga 0.628 0.628 0.824
Ga 0.630 0.630 0.303
Ga 0.800 0.800 0.399
Ga 0.996 0.996 0.774
Pt 0.500 0.500 0.500

Computed properties:
* volume: 192.6 Å³/f.u.
* space group: No. 12
* M_tot: 0.0 μB per formula unit
* formation enthalpy at 0 K: -277 meV per atom